The following is a DFT calculation (GGA+U) of an optimized crystal structure of SmCrO3.

For the energy, the calculation gives -8.182 eV per atom.

The structure belongs to space group Pnma (No. 62); the cell edges are 5.6373, 7.7549 and 5.4075 Å and the angles 90.00°, 90.00° and 90.00°. The asymmetric unit holds Sm at (0.0603, 0.2500, 0.0159), Cr at (0.0000, 0.0000, 0.5000), O at (0.0315, 0.7500, 0.4009) and O at (0.2020, 0.5518, 0.8008).